1.
Below is PtWCl4 after structural relaxation, with properties calculated at the PBE level.

Structure (POSCAR):
```
PtWCl4
1.0
0.000 3.883 3.883
3.883 0.000 3.883
3.883 3.883 0.000
Pt W Cl
1 1 4
Direct
0.750 0.750 0.750
0.000 0.000 0.000
0.875 0.375 0.375
0.375 0.375 0.875
0.375 0.875 0.375
0.375 0.375 0.375
```

Calculated values
ΔE_f (raw): 1.6576 eV per atom
electronic total energy: -2.74 eV/atom



2.
Below is RbAcCu2P2 after structural relaxation, with properties calculated at the PBE level.

Structure (POSCAR):
```
RbAcCu2P2
1.0
4.168 0.000 0.000
-2.084 3.610 0.000
0.000 0.000 9.487
Rb Ac Cu P
1 1 2 2
Direct
0.000 0.000 0.500
0.000 0.000 0.000
0.667 0.333 0.225
0.333 0.667 0.775
0.667 0.333 0.785
0.333 0.667 0.215
```

Calculated values
formation enthalpy at 0 K: -0.647 eV/atom
electronic total energy: -4.66 eV/atom